Entry from Alexandria via LeMat-Bulk: AcLaYAl after structural relaxation (PBE-GGA).

Summary:
Space group: F-43m, No. 216
Calculated formation energy (kJ/mol of atoms): 3.8
Total DFT energy (no corrections) (eV per atom): -4.7710

abc: 7.9502 7.9502 7.9502
angles: 90.00 90.00 90.00
Last column: nearest neighbours and their distance in Å.
Fractional coordinates of all 16 atoms:
1 Ac 0.0000 0.0000 0.0000  4 La 3.44, 4 Y 3.44
2 Ac 0.0000 0.5000 0.5000  4 La 3.44, 4 Y 3.44
3 Ac 0.5000 0.0000 0.5000  4 La 3.44, 4 Y 3.44
4 Ac 0.5000 0.5000 0.0000  4 La 3.44, 4 Y 3.44
5 La 0.2500 0.2500 0.2500  4 Al 3.44, 4 Ac 3.44
6 La 0.2500 0.7500 0.7500  4 Ac 3.44, 4 Al 3.44
7 La 0.7500 0.2500 0.7500  4 Ac 3.44, 4 Al 3.44
8 La 0.7500 0.7500 0.2500  4 Ac 3.44, 4 Al 3.44
9 Y 0.2500 0.2500 0.7500  4 Ac 3.44, 4 Al 3.44
10 Y 0.2500 0.7500 0.2500  4 Ac 3.44, 4 Al 3.44
11 Y 0.7500 0.2500 0.2500  4 Ac 3.44, 4 Al 3.44
12 Y 0.7500 0.7500 0.7500  4 Ac 3.44, 4 Al 3.44
13 Al 0.0000 0.0000 0.5000  4 Y 3.44, 4 La 3.44
14 Al 0.0000 0.5000 0.0000  4 Y 3.44, 4 La 3.44
15 Al 0.5000 0.0000 0.0000  4 Y 3.44, 4 La 3.44
16 Al 0.5000 0.5000 0.5000  4 Y 3.44, 4 La 3.44

---

Entry from Alexandria via LeMat-Bulk: Sc2RhO after structural relaxation (PBE-GGA).

Summary:
Space group: P4/mmm, No. 123
E_form (uncorrected) (kJ/mol of atoms): -139.8
Total DFT energy (no corrections) (eV per atom): -7.6926

abc: 2.9492 2.9492 6.5100
angles: 90.00 90.00 90.00
Last column: nearest neighbours and their distance in Å.
Fractional coordinates of all 4 atoms:
1 Sc 0.0000 0.0000 0.2243  4 O 2.55, 4 Rh 2.75
2 Sc 0.0000 0.0000 0.7757  4 O 2.55, 4 Rh 2.75
3 Rh 0.5000 0.5000 0.5000  8 Sc 2.75, 4 Rh 2.95
4 O 0.5000 0.5000 0.0000  8 Sc 2.55

---

Entry from Alexandria via LeMat-Bulk: Ba2Li4TlAs3 after structural relaxation (PBE-GGA).

Summary:
Space group: P-4m2, No. 115
Calculated formation energy (kJ/mol of atoms): -71.0
Total DFT energy (no corrections) (eV per atom): -3.5176

abc: 4.6634 4.6634 10.8404
angles: 90.00 90.00 90.00
Last column: nearest neighbours and their distance in Å.
Fractional coordinates of all 10 atoms:
1 Ba 0.0000 0.5000 0.2282  8 Li 3.40-3.61, 6 As 3.47-3.76, 2 Tl 3.76
2 Ba 0.5000 0.0000 0.7718  8 Li 3.40-3.61, 6 As 3.47-3.76, 2 Tl 3.76
3 Li 0.0000 0.0000 0.0000  4 As 2.72
4 Li 0.0000 0.5000 0.6358  3 As 2.55-2.76, 2 Tl 2.76
5 Li 0.5000 0.0000 0.3642  3 As 2.55-2.76, 2 Tl 2.76
6 Li 0.5000 0.5000 0.0000  4 As 2.72
7 Tl 0.0000 0.0000 0.5000  4 Li 2.76
8 As 0.0000 0.5000 0.8706  5 Li 2.55-2.72
9 As 0.5000 0.0000 0.1294  5 Li 2.55-2.72
10 As 0.5000 0.5000 0.5000  4 Li 2.76

---

Entry from Alexandria via LeMat-Bulk: MnMo2W after structural relaxation (PBE-GGA).

Summary:
Space group: Cmm2, No. 35
Calculated formation energy (kJ/mol of atoms): 5.3
Total DFT energy (no corrections) (eV per atom): -10.8918
Offset from the most stable computed form (meV per atom): 0

abc: 3.1583 4.4043 8.5933
angles: 90.00 90.00 90.00
Last column: nearest neighbours and their distance in Å.
Fractional coordinates of all 8 atoms:
1 Mn 0.0000 0.0000 0.0000  2 Mo 2.57, 2 W 2.58, 4 Mn 2.71
2 Mn 0.5000 0.5000 0.0000  2 Mo 2.57, 2 W 2.58, 4 Mn 2.71
3 Mo 0.0000 0.0000 0.5014  6 Mo 2.71-2.75, 2 W 2.76
4 Mo 0.0000 0.5000 0.7640  2 Mn 2.57, 6 Mo 2.71-2.75
5 Mo 0.5000 0.0000 0.7640  2 Mn 2.57, 6 Mo 2.71-2.75
6 Mo 0.5000 0.5000 0.5014  6 Mo 2.71-2.75, 2 W 2.76
7 W 0.0000 0.5000 0.2375  2 Mn 2.58, 4 W 2.71, 2 Mo 2.76
8 W 0.5000 0.0000 0.2375  2 Mn 2.58, 4 W 2.71, 2 Mo 2.76

---

Entry from Alexandria via LeMat-Bulk: Pu2CuGe after structural relaxation (PBE-GGA).

Summary:
Space group: Pmmm, No. 47
Calculated formation energy (kJ/mol of atoms): -17.4
Total DFT energy (no corrections) (eV per atom): -9.5246

abc: 2.9426 3.9850 7.1822
angles: 90.00 90.00 90.00
Last column: nearest neighbours and their distance in Å.
Fractional coordinates of all 4 atoms:
1 Pu 0.0000 0.0000 0.2481  2 Pu 2.94, 4 Cu 3.05, 4 Ge 3.07
2 Pu 0.0000 0.0000 0.7519  2 Pu 2.94, 4 Cu 3.05, 4 Ge 3.07
3 Cu 0.5000 0.5000 0.0000  2 Cu 2.94, 8 Pu 3.05
4 Ge 0.5000 0.5000 0.5000  2 Ge 2.94, 8 Pu 3.07

---

Entry from Alexandria via LeMat-Bulk: CaNd2O after structural relaxation (PBE-GGA).

Summary:
Space group: R-3m, No. 166
E_form (uncorrected) (kJ/mol of atoms): -111.4
Total DFT energy (no corrections) (eV per atom): -5.2783

abc: 3.6910 3.6910 28.8447
angles: 90.00 90.00 120.00
Last column: nearest neighbours and their distance in Å.
Fractional coordinates of all 12 atoms:
1 Ca 0.0000 0.0000 0.0000  2 Nd 3.46, 6 Ca 3.69
2 Ca 0.3333 0.6667 0.6667  2 Nd 3.46, 6 Ca 3.69
3 Ca 0.6667 0.3333 0.3333  2 Nd 3.46, 6 Ca 3.69
4 Nd 0.0000 0.0000 0.1201  3 O 2.52
5 Nd 0.0000 0.0000 0.8799  3 O 2.52
6 Nd 0.3333 0.6667 0.5466  3 O 2.52
7 Nd 0.3333 0.6667 0.7867  3 O 2.52
8 Nd 0.6667 0.3333 0.2133  3 O 2.52
9 Nd 0.6667 0.3333 0.4534  3 O 2.52
10 O 0.0000 0.0000 0.5000  6 Nd 2.52
11 O 0.3333 0.6667 0.1667  6 Nd 2.52
12 O 0.6667 0.3333 0.8333  6 Nd 2.52

---

Entry from Alexandria via LeMat-Bulk: TaMn after structural relaxation (PBE-GGA).

Summary:
Space group: Cmme, No. 67
Calculated formation energy (kJ/mol of atoms): 4.5
Total DFT energy (no corrections) (eV per atom): -10.4640

abc: 3.7390 4.1917 7.4896
angles: 90.00 90.00 90.00
Last column: nearest neighbours and their distance in Å.
Fractional coordinates of all 8 atoms:
1 Ta 0.0000 0.2500 0.1572  4 Mn 2.71-2.87, 6 Ta 2.81-3.01
2 Ta 0.0000 0.7500 0.8428  4 Mn 2.71-2.87, 6 Ta 2.81-3.01
3 Ta 0.5000 0.2500 0.8428  4 Mn 2.71-2.87, 6 Ta 2.81-3.01
4 Ta 0.5000 0.7500 0.1572  4 Mn 2.71-2.87, 6 Ta 2.81-3.01
5 Mn 0.0000 0.2500 0.5801  4 Mn 2.22-2.41
6 Mn 0.0000 0.7500 0.4199  4 Mn 2.22-2.41
7 Mn 0.5000 0.2500 0.4199  4 Mn 2.22-2.41
8 Mn 0.5000 0.7500 0.5801  4 Mn 2.22-2.41

---

Entry from Alexandria via LeMat-Bulk: Li2MgHgI6 after structural relaxation (PBE-GGA).

Summary:
Space group: P1, No. 1
E_form (uncorrected) (kJ/mol of atoms): -80.4
Total DFT energy (no corrections) (eV per atom): -2.3355

abc: 7.5738 7.5803 8.3647
angles: 63.36 63.40 60.17
Last column: nearest neighbours and their distance in Å.
Fractional coordinates of all 10 atoms:
1 Li 0.0000 0.0000 0.0000  3 I 2.77-2.78
2 Li 0.4405 0.4380 0.6767  3 I 2.84
3 Mg 0.7742 0.7748 0.6711  6 I 2.85-3.11
4 Hg 0.1931 0.1986 0.4062  3 I 2.78
5 I 0.0419 0.3890 0.8657  2 Li 2.77-2.84, 1 Mg 2.85
6 I 0.1836 0.8496 0.3814  1 Hg 2.78, 1 Mg 3.10
7 I 0.3869 0.7011 0.8654  2 Li 2.78-2.84, 1 Mg 2.85
8 I 0.5749 0.1893 0.3839  1 Hg 2.78, 1 Mg 3.11
9 I 0.7004 0.0421 0.8666  2 Li 2.78-2.84, 1 Mg 2.85
10 I 0.8431 0.5792 0.3834  1 Hg 2.78, 1 Mg 3.09

---

Entry from Alexandria via LeMat-Bulk: PrSb3Pd4 after structural relaxation (PBE-GGA).

Summary:
Space group: C2/m, No. 12
E_form (uncorrected) (kJ/mol of atoms): -57.1
Total DFT energy (no corrections) (eV per atom): -5.3312

abc: 13.7472 4.6787 5.5564
angles: 90.00 108.22 90.00
Last column: nearest neighbours and their distance in Å.
Fractional coordinates of all 16 atoms:
1 Pr 0.0000 0.0000 0.0000  4 Pd 3.11-3.13, 4 Sb 3.37
2 Pr 0.5000 0.5000 0.0000  4 Pd 3.11-3.13, 4 Sb 3.37
3 Sb 0.0000 0.5000 0.5000  4 Pd 2.74
4 Sb 0.1852 0.5000 0.1257  5 Pd 2.68-2.86
5 Sb 0.3148 0.0000 0.8743  5 Pd 2.68-2.86
6 Sb 0.5000 0.0000 0.5000  4 Pd 2.74
7 Sb 0.6852 0.0000 0.1257  5 Pd 2.68-2.86
8 Sb 0.8148 0.5000 0.8743  5 Pd 2.68-2.86
9 Pd 0.1090 0.0000 0.5860  3 Sb 2.74-2.78, 4 Pd 2.85-2.88
10 Pd 0.2376 0.5000 0.6663  4 Sb 2.68-2.86, 3 Pd 2.87-2.88
11 Pd 0.2624 0.0000 0.3337  4 Sb 2.68-2.86, 3 Pd 2.87-2.88
12 Pd 0.3910 0.5000 0.4140  3 Sb 2.74-2.78, 4 Pd 2.85-2.88
13 Pd 0.6090 0.5000 0.5860  3 Sb 2.74-2.78, 4 Pd 2.85-2.88
14 Pd 0.7376 0.0000 0.6663  4 Sb 2.68-2.86, 3 Pd 2.87-2.88
15 Pd 0.7624 0.5000 0.3337  4 Sb 2.68-2.86, 3 Pd 2.87-2.88
16 Pd 0.8910 0.0000 0.4140  3 Sb 2.74-2.78, 4 Pd 2.85-2.88

---

Entry from Alexandria via LeMat-Bulk: GaSnIrS2 after structural relaxation (PBE-GGA).

Summary:
Space group: Pm, No. 6
E_form (uncorrected) (kJ/mol of atoms): -18.0
Total DFT energy (no corrections) (eV per atom): -5.0156
Offset from the most stable computed form (meV per atom): 267

abc: 3.4449 7.0293 4.8405
angles: 90.00 110.76 90.00
Last column: nearest neighbours and their distance in Å.
Fractional coordinates of all 5 atoms:
1 Ga 0.0000 0.0000 0.0000  3 Ir 2.49-2.67, 2 S 2.59
2 Sn 0.5616 0.5000 0.1242  2 S 2.71
3 Ir 0.2727 0.0000 0.5508  4 S 2.39, 3 Ga 2.49-2.67
4 S 0.7783 0.2365 0.5625  2 Ir 2.39, 1 Ga 2.59
5 S 0.7783 0.7635 0.5625  2 Ir 2.39, 1 Ga 2.59

---

Entry from Alexandria via LeMat-Bulk: KZrPb2 after structural relaxation (PBE-GGA).

Summary:
Space group: F-43m, No. 216
Calculated formation energy (kJ/mol of atoms): 50.7
Total DFT energy (no corrections) (eV per atom): -3.7402
Offset from the most stable computed form (meV per atom): 677

abc: 7.8504 7.8504 7.8504
angles: 90.00 90.00 90.00
Last column: nearest neighbours and their distance in Å.
Fractional coordinates of all 16 atoms:
1 K 0.0000 0.0000 0.0000  4 Zr 3.40, 4 Pb 3.40
2 K 0.0000 0.5000 0.5000  4 Zr 3.40, 4 Pb 3.40
3 K 0.5000 0.0000 0.5000  4 Zr 3.40, 4 Pb 3.40
4 K 0.5000 0.5000 0.0000  4 Zr 3.40, 4 Pb 3.40
5 Zr 0.2500 0.2500 0.2500  4 Pb 3.40, 4 K 3.40
6 Zr 0.2500 0.7500 0.7500  4 Pb 3.40, 4 K 3.40
7 Zr 0.7500 0.2500 0.7500  4 Pb 3.40, 4 K 3.40
8 Zr 0.7500 0.7500 0.2500  4 Pb 3.40, 4 K 3.40
9 Pb 0.0000 0.0000 0.5000  4 Zr 3.40, 4 Pb 3.40
10 Pb 0.0000 0.5000 0.0000  4 Zr 3.40, 4 Pb 3.40
11 Pb 0.2500 0.2500 0.7500  4 Pb 3.40, 4 K 3.40
12 Pb 0.2500 0.7500 0.2500  4 Pb 3.40, 4 K 3.40
13 Pb 0.5000 0.0000 0.0000  4 Zr 3.40, 4 Pb 3.40
14 Pb 0.5000 0.5000 0.5000  4 Zr 3.40, 4 Pb 3.40
15 Pb 0.7500 0.2500 0.2500  4 Pb 3.40, 4 K 3.40
16 Pb 0.7500 0.7500 0.7500  4 Pb 3.40, 4 K 3.40

---

Entry from Alexandria via LeMat-Bulk: Rb4Dy3InO8 after structural relaxation (PBE-GGA).

Summary:
Space group: R-3m, No. 166
E_form (uncorrected) (kJ/mol of atoms): -229.1
Total DFT energy (no corrections) (eV per atom): -6.1296

abc: 7.6903 7.6903 7.6903
angles: 53.87 53.87 53.87
Last column: nearest neighbours and their distance in Å.
Fractional coordinates of all 16 atoms:
1 Rb 0.0000 0.0000 0.0000  6 O 2.93
2 Rb 0.0000 0.5000 0.5000  6 O 2.91-2.93
3 Rb 0.5000 0.0000 0.5000  6 O 2.91-2.93
4 Rb 0.5000 0.5000 0.0000  6 O 2.91-2.93
5 Dy 0.0000 0.0000 0.5000  6 O 2.31-2.33
6 Dy 0.0000 0.5000 0.0000  6 O 2.31-2.33
7 Dy 0.5000 0.0000 0.0000  6 O 2.31-2.33
8 In 0.5000 0.5000 0.5000  6 O 2.31
9 O 0.2248 0.2248 0.2248  3 Dy 2.31
10 O 0.2279 0.7249 0.7249  1 In 2.31, 2 Dy 2.33
11 O 0.2751 0.2751 0.7721  1 In 2.31, 2 Dy 2.33
12 O 0.2751 0.7721 0.2751  1 In 2.31, 2 Dy 2.33
13 O 0.7249 0.2279 0.7249  1 In 2.31, 2 Dy 2.33
14 O 0.7249 0.7249 0.2279  1 In 2.31, 2 Dy 2.33
15 O 0.7721 0.2751 0.2751  1 In 2.31, 2 Dy 2.33
16 O 0.7752 0.7752 0.7752  3 Dy 2.31